Entry 1:
NaLi2ZrSb | GGA-PBE | optimized geometry

Calculated values
Its density is 2.73 g/cm3. The uncorrected formation energy is 1.10 eV/atom. The space group is P4/mmm. The total magnetic moment is 0.6339 μB/atom. Its calculated total energy is -12.32 eV for the cell shown.

Lattice parameters (Å, degrees): 5.1996 5.1996 5.6184 90.00 90.00 90.00
Fractional positions:
Na: 0.0000 0.0000 0.0000
Li: 0.0000 0.5000 0.5000
Li: 0.5000 0.0000 0.5000
Zr: 0.0000 0.0000 0.5000
Sb: 0.5000 0.5000 0.0000

Entry 2:
NaLiSc2 | GGA-PBE | optimized geometry

Calculated values
Its density is 2.05 g/cm3. The space group is Fm-3m. The total magnetic moment is 0.0770 μB/atom. Its calculated total energy is -14.17 eV for the cell shown. Its energy of formation is 0.432 eV/atom.

Lattice parameters (Å, degrees): 5.1569 5.1569 5.1569 60.00 60.00 60.00
Fractional positions:
Na: 0.0000 0.0000 0.0000
Li: 0.5000 0.5000 0.5000
Sc: 0.2500 0.2500 0.2500
Sc: 0.7500 0.7500 0.7500

Entry 3:
NaLi3Sc | GGA-PBE | optimized geometry

Calculated values
Its density is 1.24 g/cm3. The space group is Pm-3m. The total magnetic moment is 0.1105 μB/atom. Its calculated total energy is -10.73 eV for the cell shown. Its energy of formation is 0.533 eV/atom.

Lattice parameters (Å, degrees): 4.9115 4.9115 4.9115 90.00 90.00 90.00
Fractional positions:
Na: 0.0000 0.0000 0.0000
Li: 0.0000 0.0000 0.5000
Li: 0.0000 0.5000 0.0000
Li: 0.5000 0.0000 0.0000
Sc: 0.5000 0.5000 0.5000

Entry 4:
NaLiSc2 | GGA-PBE | optimized geometry

Calculated values
Its density is 1.95 g/cm3. The space group is R-3m. The total magnetic moment is 0.0000 μB/atom. Its calculated total energy is -14.61 eV for the cell shown. Its energy of formation is 0.322 eV/atom.

Lattice parameters (Å, degrees): 11.8553 11.8553 11.8553 15.36 15.36 15.36
Fractional positions:
Na: 0.0000 0.0000 0.0000
Li: 0.5000 0.5000 0.5000
Sc: 0.0931 0.0931 0.0931
Sc: 0.9069 0.9069 0.9069

Entry 5:
NaLiSc2 | GGA-PBE | optimized geometry

Calculated values
Its density is 2.00 g/cm3. The space group is I-42d. The total magnetic moment is 0.2197 μB/atom. Its calculated total energy is -27.23 eV for the cell shown. Its energy of formation is 0.570 eV/atom.

Lattice parameters (Å, degrees): 6.5053 6.5053 6.5053 102.12 102.12 125.45
Fractional positions:
Na: 0.0000 0.0000 0.0000
Na: 0.7500 0.2500 0.5000
Li: 0.2500 0.7500 0.5000
Li: 0.5000 0.5000 0.0000
Sc: 0.1442 0.6250 0.0192
Sc: 0.3750 0.3942 0.5192
Sc: 0.6058 0.1250 0.9808
Sc: 0.8750 0.8558 0.4808

Entry 6:
NaLi2Sc2 | GGA-PBE | optimized geometry

Calculated values
Its density is 1.68 g/cm3. The space group is P4/mbm. The total magnetic moment is 0.2185 μB/atom. Its calculated total energy is -32.16 eV for the cell shown. Its energy of formation is 0.346 eV/atom.

Lattice parameters (Å, degrees): 8.9431 8.9431 3.1287 90.00 90.00 90.00
Fractional positions:
Na: 0.0000 0.0000 0.0000
Na: 0.5000 0.5000 0.0000
Li: 0.1684 0.3316 0.0000
Li: 0.3316 0.8316 0.0000
Li: 0.6684 0.1684 0.0000
Li: 0.8316 0.6684 0.0000
Sc: 0.1237 0.6237 0.5000
Sc: 0.3763 0.1237 0.5000
Sc: 0.6237 0.8763 0.5000
Sc: 0.8763 0.3763 0.5000

Entry 7:
NaLiSc | GGA-PBE | optimized geometry

Calculated values
Its density is 1.58 g/cm3. The space group is Cm. The total magnetic moment is 0.1046 μB/atom. Its calculated total energy is -18.48 eV for the cell shown. Its energy of formation is 0.109 eV/atom.

Lattice parameters (Å, degrees): 3.3152 3.3152 16.6150 95.26 95.26 59.94
Fractional positions:
Na: 0.0000 0.0000 0.0000
Na: 0.7494 0.7494 0.1958
Li: 0.1843 0.1843 0.5069
Li: 0.4731 0.4731 0.3639
Sc: 0.2766 0.2766 0.8151
Sc: 0.8979 0.8979 0.6647

Entry 8:
NaLi2ScSe | GGA-PBE | optimized geometry

Calculated values
Its density is 2.45 g/cm3. The uncorrected formation energy is 0.16 eV/atom. The space group is P4/mmm. The total magnetic moment is 0.0002 μB/atom. Its calculated total energy is -14.19 eV for the cell shown.

Lattice parameters (Å, degrees): 4.5596 4.5596 5.2364 90.00 90.00 90.00
Fractional positions:
Na: 0.0000 0.0000 0.0000
Li: 0.0000 0.5000 0.0000
Li: 0.5000 0.0000 0.0000
Sc: 0.5000 0.5000 0.5000
Se: 0.0000 0.0000 0.5000